5
Lattice="3.630 0.000 0.000 0.000 3.630 0.000 0.000 0.000 3.630" Properties=species:S:1:pos:R:3 comment="BC3Br (PBE-GGA, relaxed)" formation_energy_uncorrected_kj_per_mol_fu=1375 pbc="T T T"
C 0.000 1.815 0.000
C 0.000 0.000 1.815
C 1.815 0.000 0.000
B 0.000 0.000 0.000
Br 1.815 1.815 1.815